VASP calculation (PBE) on ErTm2PuSc4 after structural relaxation.

Values from the calculation:
Energy relative to the elements (eV per atom): 0.4631

Cell: 6.466 11.108 12.324 Å, 90.00 90.00 90.00°
Space group Imma (No. 74)
Unique sites:
Er: 0.250 0.250 0.250
Tm: 0.000 0.000 0.000
Tm: 0.250 0.250 0.750
Pu: 0.000 0.000 0.500
Sc: 0.000 0.001 0.739
Sc: 0.235 0.250 0.501

---

VASP calculation (PBE) on Er3Tm6PuSc2 after structural relaxation.

Values from the calculation:
Energy relative to the elements (eV per atom): 0.0571

Cell: 5.964 10.326 11.389 Å, 90.00 100.07 90.00°
Space group C2/m (No. 12)
Unique sites:
Er: 0.000 0.000 0.000
Er: 0.000 0.332 0.000
Tm: 0.247 0.334 0.744
Tm: 0.250 0.000 0.744
Pu: 0.000 0.500 0.500
Sc: 0.000 0.167 0.500

---

VASP calculation (PBE) on Er2TmPuSc4 after structural relaxation.

Values from the calculation:
Energy relative to the elements (eV per atom): 0.0703

Cell: 6.807 9.199 6.792 Å, 90.00 90.00 90.00°
Space group Cmmm (No. 65)
Unique sites:
Er: 0.000 0.000 0.000
Er: 0.000 0.500 0.500
Tm: 0.000 0.000 0.500
Pu: 0.000 0.500 0.000
Sc: 0.250 0.250 0.243

---

VASP calculation (PBE) on Er4Pu3Se8 after structural relaxation.

Values from the calculation:
Formation energy without anion corrections (eV per formula unit): -25.49

Cell: 11.518 11.539 8.134 Å, 90.00 134.81 90.00°
Space group C2/m (No. 12)
Unique sites:
Er: 0.000 0.000 0.000
Er: 0.000 0.000 0.500
Er: 0.250 0.250 0.000
Pu: 0.000 0.500 0.500
Pu: 0.250 0.250 0.500
Se: 0.000 0.247 0.500
Se: 0.000 0.250 0.000
Se: 0.245 0.000 0.498
Se: 0.248 0.000 0.994

---

How do the records compare in total magnetization? In the order shown, they have 1.1063, 0.5532, 0.8245, 0.3788 μB/atom.